Record 1
Below is NaCd2Re at its PBEsol-relaxed geometry, with properties calculated at the SCAN level.

Calculated values
ΔH_f (0 K) in eV/atom: 0.72
SG: Fm-3m, No. 225

Cell: 4.729 4.729 4.729 Å, 60.00 60.00 60.00°
Site moments in Bohr magnetons follow the coordinates.
Positions (direct):
Re (0.500, 0.500, 0.500)  1.83
Cd (0.250, 0.250, 0.250)  -0.02
Cd (0.750, 0.750, 0.750)  -0.02
Na (0.000, 0.000, 0.000)  -0.01

=====

Record 2
Below is Na2Cd2Rh at its PBEsol-relaxed geometry, with properties calculated at the SCAN level.

Calculated values
ΔH_f (0 K) in eV/atom: 0.50
SG: I4/mmm, No. 139

Cell: 3.830 3.830 8.301 Å, 103.34 103.34 90.00°
Site moments in Bohr magnetons follow the coordinates.
Positions (direct):
Cd (0.250, 0.750, 0.500)  0.00
Cd (0.750, 0.250, 0.500)  0.00
Na (0.413, 0.413, 0.826)  -0.01
Na (0.587, 0.587, 0.174)  -0.01
Rh (0.000, 0.000, 0.000)  1.06

=====

Record 3
Below is NaCd3Rh at its PBEsol-relaxed geometry, with properties calculated at the SCAN level.

Calculated values
ΔH_f (0 K) in eV/atom: 0.00
SG: Pm-3m, No. 221

Cell: 5.104 5.104 5.104 Å, 90.00 90.00 90.00°
Positions (direct):
Cd (0.000, 0.000, 0.500)
Cd (0.500, 0.000, 0.000)
Cd (0.000, 0.500, 0.000)
Rh (0.000, 0.000, 0.000)
Na (0.500, 0.500, 0.500)

=====

Record 4
Below is NaCd2Rh at its PBEsol-relaxed geometry, with properties calculated at the SCAN level.

Calculated values
ΔH_f (0 K) in eV/atom: -0.08
SG: Fm-3m, No. 225

Cell: 4.651 4.651 4.651 Å, 60.00 60.00 60.00°
Positions (direct):
Cd (0.250, 0.250, 0.250)
Cd (0.750, 0.750, 0.750)
Rh (0.500, 0.500, 0.500)
Na (0.000, 0.000, 0.000)